a.
Material: ReTe4Se
Method: DFT, PBE
State: relaxed

Calculated values
calculated density	7.17	g/cm³
magnetization	0.001	μB/atom

abc: 6.887 7.837 8.032
angles: 71.49 65.04 68.81
Fractional coordinates of all 12 atoms:
Re1 0.279 0.503 0.009
Re2 0.721 0.497 0.991
Se1 0.863 0.643 0.143
Se2 0.137 0.357 0.857
Te1 0.367 0.818 0.027
Te2 0.796 0.160 0.279
Te3 0.365 0.506 0.325
Te4 0.141 0.223 0.344
Te5 0.859 0.777 0.656
Te6 0.635 0.494 0.675
Te7 0.204 0.840 0.721
Te8 0.633 0.182 0.973

---

b.
Material: ReTe4Se
Method: DFT, PBE
State: relaxed

Calculated values
calculated density	7.13	g/cm³
magnetization	0.000	μB/atom

abc: 6.987 7.360 8.316
angles: 116.10 92.35 106.62
Fractional coordinates of all 12 atoms:
Re1 0.496 0.797 0.497
Re2 0.504 0.203 0.503
Se1 0.270 0.553 0.197
Se2 0.730 0.447 0.803
Te1 0.505 0.272 0.022
Te2 0.257 0.000 0.168
Te3 0.763 0.000 0.364
Te4 0.726 0.524 0.419
Te5 0.274 0.476 0.581
Te6 0.237 0.000 0.636
Te7 0.743 0.000 0.832
Te8 0.495 0.728 0.978

---

Q: Which of them is the least stable? A: a.

---

a.
Material: MgAgSeO
Method: DFT, PBE
State: relaxed

Calculated values
calculated density	5.91	g/cm³

abc: 2.862 5.505 8.226
angles: 90.00 79.95 90.00
Fractional coordinates of all 8 atoms:
Ag1 0.842 0.250 0.316
Ag2 0.158 0.750 0.683
Mg1 0.480 0.750 0.040
Mg2 0.520 0.250 0.960
O1 0.000 0.000 0.000
O2 0.000 0.500 0.000
Se1 0.811 0.750 0.379
Se2 0.190 0.250 0.621

---

b.
Material: MgAgSeO
Method: DFT, PBE
State: relaxed

Calculated values
calculated density	5.19	g/cm³

abc: 3.790 3.790 11.695
angles: 90.00 90.00 120.00
Fractional coordinates of all 8 atoms:
Ag1 0.333 0.667 0.262
Ag2 0.667 0.333 0.762
Mg1 0.000 0.000 0.489
Mg2 0.000 0.000 0.989
O1 0.000 0.000 0.328
O2 0.000 0.000 0.828
Se1 0.667 0.333 0.109
Se2 0.333 0.667 0.609

---

Q: Which of them is the least stable? A: b.

---

a.
Material: DyMgB
Method: DFT, PBE
State: relaxed

Calculated values
calculated density	5.74	g/cm³
magnetization	0.000	μB/atom

abc: 4.323 4.323 4.323
angles: 60.00 60.00 60.00
Fractional coordinates of all 3 atoms:
B1 0.250 0.250 0.250
Dy1 0.750 0.750 0.750
Mg1 0.000 0.000 0.000

---

b.
Material: DyMgB
Method: DFT, PBE
State: relaxed

Calculated values
calculated density	5.14	g/cm³
magnetization	0.000	μB/atom

abc: 4.486 4.486 4.486
angles: 60.00 60.00 60.00
Fractional coordinates of all 3 atoms:
B1 0.250 0.250 0.250
Dy1 0.000 0.000 0.000
Mg1 0.750 0.750 0.750

---

Q: Which of them is the least stable? A: b.

---

a.
Material: SrTbAsO
Method: DFT, PBE
State: relaxed

Calculated values
calculated density	5.55	g/cm³
magnetization	0.000	μB/atom

abc: 4.292 7.021 6.706
angles: 90.00 90.00 90.00
Fractional coordinates of all 8 atoms:
As1 0.000 0.196 0.360
As2 0.000 0.804 0.860
O1 0.500 0.789 0.376
O2 0.500 0.211 0.876
Sr1 0.000 0.640 0.409
Sr2 0.000 0.360 0.909
Tb1 0.500 0.978 0.109
Tb2 0.500 0.022 0.609

---

b.
Material: SrTbAsO
Method: DFT, PBE
State: relaxed

Calculated values
calculated density	5.65	g/cm³
magnetization	0.000	μB/atom

abc: 4.119 6.667 7.223
angles: 90.00 90.00 90.00
Fractional coordinates of all 8 atoms:
As1 0.000 0.231 0.323
As2 0.000 0.769 0.823
O1 0.500 0.742 0.383
O2 0.500 0.258 0.883
Sr1 0.500 0.949 0.101
Sr2 0.500 0.051 0.601
Tb1 0.000 0.631 0.446
Tb2 0.000 0.369 0.946

---

Q: Which of them is the least stable? A: b.

---

a.
Material: TcGeAsO
Method: DFT, PBE
State: relaxed

Calculated values
calculated density	7.22	g/cm³
magnetization	0.023	μB/atom

abc: 3.418 3.418 10.305
angles: 90.00 90.00 90.00
Fractional coordinates of all 8 atoms:
As1 0.750 0.750 0.250
As2 0.250 0.250 0.750
Ge1 0.750 0.250 0.500
Ge2 0.250 0.750 0.500
O1 0.750 0.250 0.000
O2 0.250 0.750 0.000
Tc1 0.250 0.250 0.122
Tc2 0.750 0.750 0.878

---

b.
Material: TcGeAsO
Method: DFT, PBE
State: relaxed

Calculated values
calculated density	5.70	g/cm³
magnetization	0.002	μB/atom

abc: 4.081 4.081 9.148
angles: 90.00 90.00 90.00
Fractional coordinates of all 8 atoms:
As1 0.000 0.500 0.293
As2 0.500 0.000 0.707
Ge1 0.000 0.000 0.500
Ge2 0.500 0.500 0.500
O1 0.000 0.000 0.000
O2 0.500 0.500 0.000
Tc1 0.000 0.500 0.043
Tc2 0.500 0.000 0.957

---

Q: Which of them is the least stable? A: a.

---

a.
Material: MgCdSO
Method: DFT, PBE
State: relaxed

Calculated values
calculated density	4.51	g/cm³

abc: 3.720 3.720 9.827
angles: 90.00 90.00 90.00
Fractional coordinates of all 8 atoms:
Cd1 0.750 0.250 0.000
Cd2 0.250 0.750 0.000
Mg1 0.750 0.750 0.372
Mg2 0.250 0.250 0.628
O1 0.250 0.250 0.433
O2 0.750 0.750 0.567
S1 0.250 0.250 0.251
S2 0.750 0.750 0.749

---

b.
Material: MgCdSO
Method: DFT, PBE
State: relaxed

Calculated values
calculated density	4.43	g/cm³

abc: 5.744 3.696 13.040
angles: 90.00 90.00 90.00
Fractional coordinates of all 16 atoms:
Cd1 0.223 0.750 0.084
Cd2 0.723 0.750 0.416
Cd3 0.277 0.250 0.584
Cd4 0.777 0.250 0.916
Mg1 0.638 0.250 0.188
Mg2 0.138 0.250 0.312
Mg3 0.862 0.750 0.688
Mg4 0.362 0.750 0.812
O1 0.301 0.250 0.183
O2 0.801 0.250 0.317
O3 0.199 0.750 0.683
O4 0.699 0.750 0.817
S1 0.764 0.750 0.076
S2 0.264 0.750 0.424
S3 0.736 0.250 0.576
S4 0.236 0.250 0.924

---

Q: Which of them is the least stable? A: a.

---

a.
Material: LuCoHgSb
Method: DFT, PBE
State: relaxed

Calculated values
calculated density	11.38	g/cm³
magnetization	0.002	μB/atom

abc: 4.860 4.860 4.860
angles: 60.00 60.00 60.00
Fractional coordinates of all 4 atoms:
Co1 0.750 0.750 0.750
Hg1 0.500 0.500 0.500
Lu1 0.250 0.250 0.250
Sb1 0.000 0.000 0.000

---

b.
Material: LuCoHgSb
Method: DFT, PBE
State: relaxed

Calculated values
calculated density	11.34	g/cm³
magnetization	0.196	μB/atom

abc: 4.866 4.866 4.866
angles: 60.00 60.00 60.00
Last column: magnetic moment on the atom in μB.
Fractional coordinates of all 4 atoms:
Co1 0.750 0.750 0.750  0.83
Hg1 0.250 0.250 0.250  0.03
Lu1 0.500 0.500 0.500  -0.07
Sb1 0.000 0.000 0.000  0.02

---

Q: Which of them is the least stable? A: b.

---

a.
Material: LaTmNO
Method: DFT, PBE
State: relaxed

Calculated values
calculated density	8.28	g/cm³
magnetization	0.002	μB/atom

abc: 4.754 4.754 5.995
angles: 90.00 90.00 90.00
Fractional coordinates of all 8 atoms:
La1 0.750 0.250 0.500
La2 0.250 0.750 0.500
N1 0.750 0.750 0.379
N2 0.250 0.250 0.621
O1 0.750 0.250 0.000
O2 0.250 0.750 0.000
Tm1 0.750 0.750 0.029
Tm2 0.250 0.250 0.971

---

b.
Material: LaTmNO
Method: DFT, PBE
State: relaxed

Calculated values
calculated density	6.55	g/cm³
magnetization	0.002	μB/atom

abc: 4.430 4.430 8.735
angles: 90.00 90.00 90.00
Fractional coordinates of all 8 atoms:
La1 0.500 0.000 0.112
La2 0.000 0.500 0.888
N1 0.000 0.500 0.447
N2 0.500 0.000 0.553
O1 0.000 0.000 0.000
O2 0.500 0.500 0.000
Tm1 0.000 0.000 0.500
Tm2 0.500 0.500 0.500

---

Q: Which of them is the least stable? A: b.